1.
KBaAg2Te4 | the Alexandria database | PBE-GGA | optimized geometry; uncorrected energy = -3.40 eV/atom; formation energy (no corrections) = -0.735 eV/atom
1.0
-12.1879 -3.6586 0.1933
-8.8161 -9.1775 -0.1274
10.5930 6.2858 3.2007
Te Ag K Ba
4 2 1 1
Direct
0.6723 0.6723 0.0000
0.0040 0.5040 0.5000
0.3193 0.3193 0.0000
0.5040 0.0040 0.5000
0.2502 0.7502 0.5000
0.7502 0.2502 0.5000
0.8809 0.8809 0.0000
0.1192 0.1192 0.0000

***

2.
KBaAgTe | the Alexandria database | PBE-GGA | optimized geometry; uncorrected energy = -3.03 eV/atom; formation energy (no corrections) = -0.781 eV/atom
1.0
5.8854 0.0000 0.0000
2.9427 5.0969 0.0000
2.9427 1.6990 4.8054
K Ba Te Ag
1 1 1 1
Direct
0.5000 0.5000 0.5000
0.0000 0.0000 0.0000
0.2500 0.2500 0.2500
0.7500 0.7500 0.7500

***

3.
KBaYAg2 | the Alexandria database | PBE-GGA | optimized geometry; uncorrected energy = -2.29 eV/atom; ΔH_f (0 K) = 749 meV/atom
1.0
-0.2487 2.2916 -5.1671
0.1599 -5.3456 -2.3784
-5.6503 -0.2423 0.1645
Ag K Y Ba
2 1 1 1
Direct
0.5000 0.0000 0.0000
0.0000 0.0000 0.5000
0.0000 0.0000 0.0000
0.0000 0.5000 0.0000
0.5000 0.5000 0.5000

***

4.
KBaZnAg | the Alexandria database | PBE-GGA | optimized geometry; uncorrected energy = -1.79 eV/atom; ΔH_f (0 K) = 0 meV/atom
1.0
5.7986 0.0000 0.0000
2.8993 5.0217 0.0000
2.8993 1.6739 4.7345
Zn Ba Ag K
1 1 1 1
Direct
0.7500 0.7500 0.7500
0.0000 0.0000 0.0000
0.2500 0.2500 0.2500
0.5000 0.5000 0.5000

***

5.
Ba2LaAg | the Alexandria database | PBE-GGA | optimized geometry; uncorrected energy = -2.90 eV/atom; ΔH_f (0 K) = 7 meV/atom
1.0
-4.3998 -6.0131 -1.3959
2.9211 -6.9894 -0.2798
-1.3371 6.3379 3.9378
Ba Ag La
2 1 1
Direct
0.0459 0.0459 0.0000
0.7461 0.2461 0.5000
0.2624 0.7624 0.5000
0.4456 0.4456 0.0000

***

6.
BaLaAg10 | the Alexandria database | PBE-GGA | optimized geometry; uncorrected energy = -3.09 eV/atom; ΔH_f (0 K) = -146 meV/atom
1.0
-2.9344 2.3710 -2.8250
-2.0131 -4.9782 -2.0871
-7.0110 -0.1613 7.1470
Ag La Ba
10 1 1
Direct
0.5000 0.0000 0.5000
0.0000 0.5000 0.8410
0.5000 0.2454 0.7578
0.5000 0.7546 0.2422
0.5000 0.2454 0.2422
0.0000 0.5000 0.1590
0.5000 0.5000 0.0000
0.0000 0.0000 0.6766
0.0000 0.0000 0.3234
0.5000 0.7546 0.7578
0.0000 0.0000 0.0000
0.0000 0.5000 0.5000

***

7.
Ba2LaAg | the Alexandria database | PBE-GGA | optimized geometry; uncorrected energy = -2.88 eV/atom; ΔH_f (0 K) = 25 meV/atom
1.0
-1.4769 0.0052 -4.0477
5.1641 -1.3087 -1.8859
1.0070 -7.6853 -0.3773
Ba La Ag
2 1 1
Direct
0.5000 0.2968 0.2816
0.0000 0.9895 0.8958
0.0000 0.6823 0.5109
0.5000 0.5315 0.8117

***

8.
Ba2LaAg | the Alexandria database | PBE-GGA | optimized geometry; uncorrected energy = -2.77 eV/atom; ΔH_f (0 K) = 139 meV/atom
1.0
-4.8466 1.4651 3.6981
-0.0444 -6.1544 1.1970
2.5947 0.5967 3.1642
Ba Ag La
2 1 1
Direct
0.0000 0.0000 0.0000
0.5000 0.5000 0.0000
0.0000 0.5000 0.5000
0.5000 0.0000 0.5000